4
Lattice="-5.772 2.764 -6.042 -7.493 1.525 -4.357 -6.752 4.089 -3.892" Properties=species:S:1:pos:R:3 comment="PBE-GGA CoNiW2, relaxed" polymorph_energy_mev_per_atom=229 ef_kj_per_mol_atoms=26.0 space_group="No. 166" crystal_system=trigonal total_energy_ev_per_cell=-37.72 pbc="T T T"
Ni -15.013 6.283 -10.718
W -10.033 4.199 -7.163
W -19.993 8.367 -14.273
Co -5.004 2.094 -3.573